This record from Alexandria describes an optimized crystal structure of Na3Li2Sn2. The functional is PBE.

abc: 5.1886 5.1886 7.6221
angles: 109.88 109.88 59.87
With the nearest neighbours (Å) after each atom.
Positions (direct):
Na  0.0000  0.0000  0.0000  6 Li 3.13, 2 Na 3.14
Na  0.1492  0.1492  0.4472  1 Li 2.97, 4 Na 3.08-3.14, 3 Sn 3.21-3.22
Na  0.8508  0.8508  0.5528  1 Li 2.97, 4 Na 3.08-3.14, 3 Sn 3.21-3.22
Li  0.2901  0.2901  0.8709  4 Sn 2.87-3.18, 4 Na 2.97-3.13
Li  0.7099  0.7099  0.1291  4 Sn 2.87-3.18, 4 Na 2.97-3.13
Sn  0.4273  0.4273  0.2808  4 Li 2.87-3.18, 1 Sn 3.07, 3 Na 3.21-3.22
Sn  0.5727  0.5727  0.7192  4 Li 2.87-3.18, 1 Sn 3.07, 3 Na 3.21-3.22

Computed properties:
- formation energy from the elements (eV/atom) = -0.23
- total magnetization (μB per formula unit) = 0.00
- electronic total energy (eV/cell) = -17.429
- excess energy over the best structure of this formula in the dataset (meV/atom) = 0
- crystal system = monoclinic


This record from Alexandria describes an optimized crystal structure of Sm3Mg9Ag2. The functional is PBE.

abc: 8.7298 8.7298 8.7298
angles: 147.11 100.03 89.20
With the nearest neighbours (Å) after each atom.
Positions (direct):
Sm  0.0000  0.0000  0.0000  12 Mg 3.33-3.55, 2 Sm 3.58
Sm  0.2877  0.2877  0.0000  2 Ag 3.18, 4 Mg 3.47
Sm  0.7123  0.7123  0.0000  2 Ag 3.18, 4 Mg 3.47
Mg  0.9998  0.3668  0.6330  1 Ag 2.87, 4 Mg 2.96-3.03
Mg  0.0002  0.6332  0.3670  1 Ag 2.87, 4 Mg 2.96-3.03
Mg  0.1412  0.8636  0.2776  4 Mg 2.96-3.03, 2 Ag 3.08
Mg  0.2662  0.6332  0.6330  1 Ag 2.87, 4 Mg 2.96-3.03
Mg  0.4140  0.1364  0.2776  4 Mg 2.96-3.03, 2 Ag 3.08
Mg  0.5000  0.0000  0.5000  4 Mg 3.02, 4 Ag 3.04
Mg  0.5860  0.8636  0.7224  4 Mg 2.96-3.03, 2 Ag 3.08
Mg  0.7338  0.3668  0.3670  1 Ag 2.87, 4 Mg 2.96-3.03
Mg  0.8588  0.1364  0.7224  4 Mg 2.96-3.03, 2 Ag 3.08
Ag  0.3423  0.5000  0.8423  8 Mg 2.87-3.08, 2 Sm 3.18
Ag  0.6577  0.5000  0.1577  8 Mg 2.87-3.08, 2 Sm 3.18

Computed properties:
- formation energy from the elements (eV/atom) = -0.09
- total magnetization (μB per formula unit) = 0.00
- electronic total energy (eV/cell) = -35.535
- crystal system = orthorhombic


The highest electronic total energy belongs to which entry? Na3Li2Sn2


Number 1 is which compound? Na3Li2Sn2